1.
6
Lattice="0.0000 4.4334 4.4334 4.4334 0.0000 4.4334 4.4334 4.4334 0.0000" Properties=species:S:1:pos:R:3 comment="Y4TlAs PBE relaxed" total_energy_ev_per_atom=-5.24 spacegroup="F-43m, No. 216" vol_a3_per_cell=174.3 total_magnetization_mub_per_fu=0.00 formation_energy_ev_per_atom=0.24 pbc="T T T"
Y 1.1102 1.1102 1.1102
Y 3.3232 3.3232 1.1102
Y 3.3232 1.1102 3.3232
Y 1.1102 3.3232 3.3232
Tl 4.4334 4.4334 4.4334
As 6.6500 6.6500 6.6500

2.
4
Lattice="4.1701 0.0000 0.0000 0.0000 4.3877 0.0000 0.0000 0.0000 6.0355" Properties=species:S:1:pos:R:3 comment="Y2TlAs PBE relaxed" total_energy_ev_per_atom=-5.71 spacegroup="Pmmm, No. 47" vol_a3_per_cell=110.4 de_polymorph_ev_per_atom=0.211 total_magnetization_mub_per_fu=0.00 formation_energy_ev_per_atom=-0.72 pbc="T T T"
Y 0.0000 0.0000 0.0000
Y 2.0850 2.1938 3.0178
Tl 0.0000 0.0000 3.0178
As 2.0850 2.1938 0.0000